<P>
First-principles (PBE) data for a geometry-optimized La3SiSn structure, as listed in Alexandria.

a = 5.6912 Å, b = 5.6912 Å, c = 5.6912 Å
α = 90.00°, β = 90.00°, γ = 90.00°
Closest atoms and distances in Å follow each position.
Atoms (fractional coordinates):
Si 0.0000 0.0000 0.0000  6 La 2.85
La 0.5000 0.0000 0.0000  2 Si 2.85
Sn 0.5000 0.5000 0.5000  12 La 4.02
La 0.0000 0.5000 0.0000  2 Si 2.85
La 0.0000 0.0000 0.5000  2 Si 2.85

Calculated values
Symmetry ... Pm-3m (221)
Total magnetization ... 0.0 μB/f.u.

<Q>
First-principles (PBE) data for a geometry-optimized La3SiSn structure, as listed in Alexandria.

a = 5.8303 Å, b = 7.4406 Å, c = 9.2445 Å
α = 115.45°, β = 89.75°, γ = 113.22°
Closest atoms and distances in Å follow each position.
Atoms (fractional coordinates):
La 0.3808 0.7581 0.1153  3 Si 2.98, 1 Sn 3.29
Sn 0.3877 0.7744 0.5412  6 La 3.29-3.44, 1 Sn 3.51
La 0.8463 0.6894 0.3479  1 Si 3.00, 2 Sn 3.33
La 0.8803 0.7619 0.7349  2 Si 2.92-3.08
Si 0.1303 0.2654 0.9596  6 La 2.92-3.08
Si 0.8697 0.7346 0.0404  6 La 2.92-3.08
La 0.6192 0.2419 0.8847  3 Si 2.98, 1 Sn 3.29
Sn 0.6123 0.2256 0.4588  6 La 3.29-3.44, 1 Sn 3.51
La 0.1197 0.2381 0.2651  2 Si 2.92-3.08
La 0.1537 0.3106 0.6521  1 Si 3.00, 2 Sn 3.33

Calculated values
Symmetry ... P-1 (2)
Total magnetization ... 0.0 μB/f.u.

Tell me which of them is the most stable. Sure, it is <Q>.

<P>
First-principles (PBE) data for a geometry-optimized Sr2LaSi2 structure, as listed in Alexandria.

a = 4.6970 Å, b = 4.6970 Å, c = 7.4705 Å
α = 71.68°, β = 71.68°, γ = 90.00°
Closest atoms and distances in Å follow each position.
Atoms (fractional coordinates):
Si 0.4130 0.4130 0.1740  1 Si 2.33
Sr 0.2500 0.7500 0.5000  4 Si 3.21, 4 Sr 3.32
La 0.0000 0.0000 0.0000  8 Si 3.52
Sr 0.7500 0.2500 0.5000  4 Si 3.21, 4 Sr 3.32
Si 0.5870 0.5870 0.8260  1 Si 2.33

Calculated values
Symmetry ... I4/mmm (139)
Total magnetization ... 0.7 μB/f.u.

<Q>
First-principles (PBE) data for a geometry-optimized Sr2LaSi2 structure, as listed in Alexandria.

a = 8.8819 Å, b = 8.8819 Å, c = 3.8845 Å
α = 90.00°, β = 90.00°, γ = 90.00°
Closest atoms and distances in Å follow each position.
Atoms (fractional coordinates):
La 0.5000 0.5000 0.0000  4 Si 3.29
La 0.0000 0.0000 0.0000  4 Si 3.29
Sr 0.3660 0.1340 0.5000  6 Si 3.12-3.35, 1 Sr 3.37
Si 0.8287 0.6713 0.0000  6 Sr 3.12-3.35, 2 La 3.29
Si 0.6713 0.1713 0.0000  6 Sr 3.12-3.35, 2 La 3.29
Si 0.1713 0.3287 0.0000  6 Sr 3.12-3.35, 2 La 3.29
Sr 0.8660 0.3660 0.5000  6 Si 3.12-3.35, 1 Sr 3.37
Sr 0.1340 0.6340 0.5000  6 Si 3.12-3.35, 1 Sr 3.37
Si 0.3287 0.8287 0.0000  6 Sr 3.12-3.35, 2 La 3.29
Sr 0.6340 0.8660 0.5000  6 Si 3.12-3.35, 1 Sr 3.37

Calculated values
Symmetry ... P4/mbm (127)
Total magnetization ... 0.0 μB/f.u.

Tell me which of them is the most stable. Sure, it is <P>.

<P>
First-principles (PBE) data for a geometry-optimized SrLaSi4 structure, as listed in Alexandria.

a = 5.6072 Å, b = 5.6072 Å, c = 5.6072 Å
α = 60.00°, β = 60.00°, γ = 60.00°
Closest atoms and distances in Å follow each position.
Atoms (fractional coordinates):
Si 0.9067 0.3644 0.3644  3 Si 2.57
Si 0.3644 0.3644 0.3644  3 Si 2.57
La 0.0000 0.0000 0.0000  12 Si 3.27, 4 Sr 3.43
Si 0.3644 0.9067 0.3644  3 Si 2.57
Sr 0.7500 0.7500 0.7500  12 Si 3.32, 4 La 3.43
Si 0.3644 0.3644 0.9067  3 Si 2.57

Calculated values
Symmetry ... F-43m (216)
Total magnetization ... 0.0 μB/f.u.

<Q>
First-principles (PBE) data for a geometry-optimized SrLaSi4 structure, as listed in Alexandria.

a = 4.4178 Å, b = 4.4178 Å, c = 7.5251 Å
α = 107.07°, β = 107.07°, γ = 90.00°
Closest atoms and distances in Å follow each position.
Atoms (fractional coordinates):
Sr 0.2500 0.7500 0.5000  12 Si 3.17-3.34
Si 0.5837 0.5837 0.1674  3 Si 2.29-2.47
Si 0.6639 0.1639 0.3277  3 Si 2.36-2.47
La 0.0000 0.0000 0.0000  12 Si 3.15-3.33
Si 0.8361 0.3361 0.6723  3 Si 2.36-2.47
Si 0.4163 0.4163 0.8326  3 Si 2.29-2.47

Calculated values
Symmetry ... I-4m2 (119)
Total magnetization ... 0.0 μB/f.u.

Tell me which of them is the most stable. Sure, it is <Q>.

<P>
First-principles (PBE) data for a geometry-optimized SrLa2Si2 structure, as listed in Alexandria.

a = 4.7366 Å, b = 4.7366 Å, c = 7.3434 Å
α = 71.19°, β = 71.19°, γ = 90.00°
Closest atoms and distances in Å follow each position.
Atoms (fractional coordinates):
Si 0.4085 0.4085 0.1830  1 Si 2.39
Si 0.5915 0.5915 0.8170  1 Si 2.39
La 0.2500 0.7500 0.5000  4 Si 3.15, 4 La 3.35
Sr 0.0000 0.0000 0.0000  8 Si 3.56
La 0.7500 0.2500 0.5000  4 Si 3.15, 4 La 3.35

Calculated values
Symmetry ... I4/mmm (139)
Total magnetization ... 0.0 μB/f.u.

<Q>
First-principles (PBE) data for a geometry-optimized SrLa2Si2 structure, as listed in Alexandria.

a = 8.5669 Å, b = 8.5669 Å, c = 3.9715 Å
α = 90.00°, β = 90.00°, γ = 90.00°
Closest atoms and distances in Å follow each position.
Atoms (fractional coordinates):
La 0.6332 0.8668 0.5000  6 Si 3.14-3.25, 1 La 3.23
Si 0.1660 0.3340 0.0000  6 La 3.14-3.25, 2 Sr 3.20
La 0.1332 0.6332 0.5000  6 Si 3.14-3.25, 1 La 3.23
Sr 0.0000 0.0000 0.0000  4 Si 3.20
Si 0.8340 0.6660 0.0000  6 La 3.14-3.25, 2 Sr 3.20
Sr 0.5000 0.5000 0.0000  4 Si 3.20
Si 0.3340 0.8340 0.0000  6 La 3.14-3.25, 2 Sr 3.20
Si 0.6660 0.1660 0.0000  6 La 3.14-3.25, 2 Sr 3.20
La 0.8668 0.3668 0.5000  6 Si 3.14-3.25, 1 La 3.23
La 0.3668 0.1332 0.5000  6 Si 3.14-3.25, 1 La 3.23

Calculated values
Symmetry ... P4/mbm (127)
Total magnetization ... 0.0 μB/f.u.

Tell me which of them is the most stable. Sure, it is <Q>.

<P>
First-principles (PBE) data for a geometry-optimized SrLa3Si structure, as listed in Alexandria.

a = 5.9136 Å, b = 5.9136 Å, c = 5.9136 Å
α = 90.00°, β = 90.00°, γ = 90.00°
Closest atoms and distances in Å follow each position.
Atoms (fractional coordinates):
Sr 0.5000 0.5000 0.5000  12 La 4.18
Si 0.0000 0.0000 0.0000  6 La 2.96
La 0.5000 0.0000 0.0000  2 Si 2.96
La 0.0000 0.5000 0.0000  2 Si 2.96
La 0.0000 0.0000 0.5000  2 Si 2.96

Calculated values
Symmetry ... Pm-3m (221)
Total magnetization ... 0.0 μB/f.u.

<Q>
First-principles (PBE) data for a geometry-optimized SrLa3Si structure, as listed in Alexandria.

a = 5.6716 Å, b = 5.6716 Å, c = 5.6716 Å
α = 90.00°, β = 90.00°, γ = 90.00°
Closest atoms and distances in Å follow each position.
Atoms (fractional coordinates):
La 0.5000 0.0000 0.0000  2 Sr 2.84
Sr 0.0000 0.0000 0.0000  6 La 2.84
Si 0.5000 0.5000 0.5000  12 La 4.01
La 0.0000 0.5000 0.0000  2 Sr 2.84
La 0.0000 0.0000 0.5000  2 Sr 2.84

Calculated values
Symmetry ... Pm-3m (221)
Total magnetization ... 0.0 μB/f.u.

Tell me which of them is the most stable. Sure, it is <P>.

<P>
First-principles (PBE) data for a geometry-optimized SrLaSi3 structure, as listed in Alexandria.

a = 5.4955 Å, b = 5.4955 Å, c = 5.4955 Å
α = 90.00°, β = 90.00°, γ = 90.00°
Closest atoms and distances in Å follow each position.
Atoms (fractional coordinates):
Sr 0.5000 0.5000 0.5000  12 Si 3.89
Si 0.0000 0.0000 0.5000  2 La 2.75
Si 0.0000 0.5000 0.0000  2 La 2.75
La 0.0000 0.0000 0.0000  6 Si 2.75
Si 0.5000 0.0000 0.0000  2 La 2.75

Calculated values
Symmetry ... Pm-3m (221)
Total magnetization ... 0.0 μB/f.u.

<Q>
First-principles (PBE) data for a geometry-optimized SrLaSi3 structure, as listed in Alexandria.

a = 4.5696 Å, b = 4.0561 Å, c = 13.0288 Å
α = 90.00°, β = 100.10°, γ = 90.00°
Closest atoms and distances in Å follow each position.
Atoms (fractional coordinates):
La 0.0681 0.2500 0.1362  12 Si 3.26-3.40
La 0.9319 0.7500 0.8638  12 Si 3.26-3.40
Si 0.6663 0.2500 0.3327  2 Si 2.42
Si 0.3852 0.2500 0.7703  3 Si 2.37-2.42
Si 0.3337 0.7500 0.6673  2 Si 2.42
Si 0.4774 0.2500 0.9548  3 Si 2.34-2.37
Si 0.5226 0.7500 0.0452  3 Si 2.34-2.37
Si 0.6148 0.7500 0.2297  3 Si 2.37-2.42
Sr 0.7986 0.2500 0.5973  7 Si 3.18-3.39
Sr 0.2014 0.7500 0.4027  7 Si 3.18-3.39

Calculated values
Symmetry ... Cmcm (63)
Total magnetization ... 0.0 μB/f.u.

Tell me which of them is the most stable. Sure, it is <Q>.

<P>
First-principles (PBE) data for a geometry-optimized LaTa2Si2 structure, as listed in Alexandria.

a = 4.8457 Å, b = 4.8457 Å, c = 5.6815 Å
α = 64.76°, β = 64.76°, γ = 90.00°
Closest atoms and distances in Å follow each position.
Atoms (fractional coordinates):
Si 0.7500 0.2500 0.5000  4 Ta 2.59
Ta 0.3502 0.3502 0.2996  4 Si 2.59, 1 Ta 2.72
La 0.0000 0.0000 0.0000  2 Ta 3.17, 8 Si 3.32
Si 0.2500 0.7500 0.5000  4 Ta 2.59
Ta 0.6498 0.6498 0.7004  4 Si 2.59, 1 Ta 2.72

Calculated values
Symmetry ... I4/mmm (139)
Total magnetization ... 0.0 μB/f.u.

<Q>
First-principles (PBE) data for a geometry-optimized LaTa2Si2 structure, as listed in Alexandria.

a = 7.4732 Å, b = 7.4732 Å, c = 3.3774 Å
α = 90.00°, β = 90.00°, γ = 90.00°
Closest atoms and distances in Å follow each position.
Atoms (fractional coordinates):
Ta 0.1582 0.6582 0.5000  6 Si 2.70-2.87
La 0.0000 0.0000 0.0000  4 Si 2.97, 8 Ta 3.28
Si 0.8779 0.6221 0.0000  1 Si 2.58, 6 Ta 2.70-2.87
Ta 0.6582 0.8418 0.5000  6 Si 2.70-2.87
Si 0.1221 0.3779 0.0000  1 Si 2.58, 6 Ta 2.70-2.87
Si 0.3779 0.8779 0.0000  1 Si 2.58, 6 Ta 2.70-2.87
Ta 0.8418 0.3418 0.5000  6 Si 2.70-2.87
Ta 0.3418 0.1582 0.5000  6 Si 2.70-2.87
La 0.5000 0.5000 0.0000  4 Si 2.97, 8 Ta 3.28
Si 0.6221 0.1221 0.0000  1 Si 2.58, 6 Ta 2.70-2.87

Calculated values
Symmetry ... P4/mbm (127)
Total magnetization ... 0.0 μB/f.u.

Tell me which of them is the most stable. Sure, it is <Q>.

<P>
First-principles (PBE) data for a geometry-optimized LaTbSi structure, as listed in Alexandria.

a = 4.4014 Å, b = 8.0310 Å, c = 8.0310 Å
α = 120.00°, β = 90.00°, γ = 90.00°
Closest atoms and distances in Å follow each position.
Atoms (fractional coordinates):
Si 0.0000 0.3333 0.6667  3 Tb 3.03, 6 La 3.28
La 0.5000 0.4080 0.4080  5 Si 3.28, 6 Tb 3.47-3.62
La 0.5000 0.5920 0.0000  5 Si 3.28, 6 Tb 3.47-3.62
Si 0.0000 0.6667 0.3333  3 Tb 3.03, 6 La 3.28
Tb 0.0000 0.7422 0.7422  4 Si 3.02-3.03
Si 0.5000 0.0000 0.0000  6 Tb 3.02, 3 La 3.28
Tb 0.0000 0.0000 0.2578  4 Si 3.02-3.03
La 0.5000 0.0000 0.5920  5 Si 3.28, 6 Tb 3.47-3.62
Tb 0.0000 0.2578 0.0000  4 Si 3.02-3.03

Calculated values
Symmetry ... P-62m (189)
Total magnetization ... 0.9 μB/f.u.

<Q>
First-principles (PBE) data for a geometry-optimized LaTbSi structure, as listed in Alexandria.

a = 4.9994 Å, b = 4.9994 Å, c = 4.9994 Å
α = 60.00°, β = 60.00°, γ = 60.00°
Closest atoms and distances in Å follow each position.
Atoms (fractional coordinates):
La 0.5000 0.5000 0.5000  4 Si 3.06
Tb 0.0000 0.0000 0.0000  4 Si 3.06
Si 0.2500 0.2500 0.2500  4 Tb 3.06, 4 La 3.06

Calculated values
Symmetry ... F-43m (216)
Total magnetization ... 0.0 μB/f.u.

<R>
First-principles (PBE) data for a geometry-optimized LaTbSi structure, as listed in Alexandria.

a = 4.3154 Å, b = 4.7449 Å, c = 4.7449 Å
α = 120.00°, β = 90.00°, γ = 90.00°
Closest atoms and distances in Å follow each position.
Atoms (fractional coordinates):
La 0.6950 0.6667 0.3333  3 Si 3.19, 3 Tb 3.39
Si 0.0739 0.0000 0.0000  3 Tb 2.82
Tb 0.2312 0.3333 0.6667  3 Si 2.82

Calculated values
Symmetry ... P3m1 (156)
Total magnetization ... 0.0 μB/f.u.

Tell me which of them is the most stable. Sure, it is <P>.